No. 1
InTe2Se: relaxed, PBE-GGA.

For the final energy, the calculation gives -3.03 eV per atom. The calculation puts the magnetization at 0.000 μB/f.u.

Cell: 4.1431 7.5144 8.2189 Å, 90.00 90.00 90.00°
Space group Cmmm (No. 65)
Unique sites:
In (0.0000, 0.0000, 0.0000) (multiplicity 2)
Te (0.0000, 0.5000, 0.2605) (multiplicity 4)
Se (0.0000, 0.0000, 0.5000) (multiplicity 2)

---

No. 2
In2TeSe: relaxed, PBE-GGA.

For the final energy, the calculation gives -2.97 eV per atom. The calculation puts the magnetization at 0.000 μB/f.u.

Cell: 3.4106 3.4106 34.7055 Å, 90.00 90.00 120.00°
Space group R-3m (No. 166, hexagonal axes)
Unique sites:
In (0.0000, 0.0000, 0.2313) (multiplicity 6)
Te (0.0000, 0.0000, 0.0000) (multiplicity 3)
Se (0.0000, 0.0000, 0.5000) (multiplicity 3)